VASP calculation (PBE) on CdRh2 after structural relaxation.

Unit cell a=6.6089 b=6.6089 c=4.1500 alpha=90.00 beta=90.00 gamma=120.00
Closest atoms and distances in Å follow each position.
Fractional coordinates of all 9 atoms:
Cd: 0.0000 0.0000 0.5000  9 Rh 2.60-2.89
Cd: 0.3333 0.6667 0.0000  9 Rh 2.58-2.85
Cd: 0.6667 0.3333 0.0000  9 Rh 2.58-2.85
Rh: 0.0000 0.2377 0.0000  4 Cd 2.58-2.60, 2 Rh 2.72
Rh: 0.0000 0.5622 0.5000  5 Cd 2.85-2.89, 2 Rh 2.98
Rh: 0.2377 0.0000 0.0000  4 Cd 2.58-2.60, 2 Rh 2.72
Rh: 0.7623 0.7623 0.0000  4 Cd 2.58-2.60, 2 Rh 2.72
Rh: 0.5622 0.0000 0.5000  5 Cd 2.85-2.89, 2 Rh 2.98
Rh: 0.4378 0.4378 0.5000  5 Cd 2.85-2.89, 2 Rh 2.98

* SG: P-62m
* DFT total energy: -4.7029 eV per atom
* formation energy from the elements: 146 kJ/mol of formula units